[1]
{"formula": "PmTaGe2O8", "functional": "PBE", "state": "optimized geometry", "formation_energy_uncorrected_kj_per_mol_atoms": -223, "lattice": [[-3.474, 3.474, 3.138], [3.474, -3.474, 3.138], [3.474, 3.474, -3.138]], "species": ["Pm", "Ta", "Ge", "Ge", "O", "O", "O", "O", "O", "O", "O", "O"], "fractional_positions": [[0.000, 0.000, 0.000], [0.750, 0.250, 0.500], [0.250, 0.750, 0.500], [0.500, 0.500, 0.000], [0.042, 0.371, 0.329], [0.042, 0.713, 0.671], [0.122, 0.322, 0.800], [0.287, 0.958, 0.329], [0.522, 0.322, 0.200], [0.629, 0.958, 0.671], [0.678, 0.478, 0.800], [0.678, 0.878, 0.200]]}

[2]
{"formula": "Tb4Pm2Ge3O2", "functional": "PBE", "state": "optimized geometry", "formation_energy_uncorrected_kj_per_mol_atoms": -151, "lattice": [[-2.291, 2.291, 12.072], [2.291, -2.291, 12.072], [2.291, 2.291, -12.072]], "species": ["Tb", "Tb", "Tb", "Tb", "Pm", "Pm", "Ge", "Ge", "Ge", "O", "O"], "fractional_positions": [[0.080, 0.580, 0.500], [0.420, 0.920, 0.500], [0.580, 0.080, 0.500], [0.920, 0.420, 0.500], [0.198, 0.198, 0.000], [0.802, 0.802, 0.000], [0.326, 0.326, 0.000], [0.500, 0.500, 0.000], [0.674, 0.674, 0.000], [0.095, 0.095, 0.000], [0.905, 0.905, 0.000]]}

[3]
{"formula": "PmTcGe2O8", "functional": "PBE", "state": "optimized geometry", "formation_energy_uncorrected_kj_per_mol_atoms": -160, "lattice": [[-3.501, 3.501, 3.110], [3.501, -3.501, 3.110], [3.501, 3.501, -3.110]], "species": ["Pm", "Tc", "Ge", "Ge", "O", "O", "O", "O", "O", "O", "O", "O"], "fractional_positions": [[0.000, 0.000, 0.000], [0.750, 0.250, 0.500], [0.250, 0.750, 0.500], [0.500, 0.500, 0.000], [0.036, 0.368, 0.333], [0.036, 0.703, 0.667], [0.122, 0.317, 0.805], [0.297, 0.964, 0.333], [0.512, 0.317, 0.195], [0.632, 0.964, 0.667], [0.683, 0.488, 0.805], [0.683, 0.878, 0.195]]}

| no. | E_tot (eV per cell) | calculated density (kg/m³) | total moment (μB per atom) |
| --- | --- | --- | --- |
| 1 | -93.20 | 6567 | 0.00 |
| 2 | -69.05 | 7700 | 0.00 |
| 3 | -83.95 | 5623 | 0.00 |